# Cr2SiPb (PBEsol, optimized geometry)
# total DFT energy (no corrections) = -0.5163 Ry per atom
# E_form (uncorrected) = 205 kJ/mol of formula units
# SG = R3m (160)
# energy above the most stable polymorph in this dataset = 25.5 meV per atom
data_Cr2SiPb
_symmetry_space_group_name_H-M 'P 1'
_symmetry_Int_Tables_number 1
_cell_length_a 3.0078
_cell_length_b 3.0078
_cell_length_c 8.2800
_cell_angle_alpha 79.54
_cell_angle_beta 79.54
_cell_angle_gamma 60.00
loop_
_symmetry_equiv_pos_as_xyz
'x,y,z'
loop_
_atom_site_label
_atom_site_fract_x
_atom_site_fract_y
_atom_site_fract_z
Cr1 0.7343 0.7343 0.7972
Cr2 0.0038 0.0038 0.9885
Si1 0.2664 0.2664 0.2007
Pb1 0.4955 0.4955 0.5136